Version one
# NaCeTl4, relaxed, DFT PBE
# D(E_F) (states/eV/f.u.): 11.917
data_NaCeTl4
_chemical_formula_sum 'Na4 Ce4 Tl16'
_space_group_name_H-M_alt 'F -4 3 m'
_space_group_IT_number 216
_space_group_name_Hall 'F -4 2 3'
_cell_length_a 9.015
_cell_length_b 9.015
_cell_length_c 9.015
_cell_angle_alpha 90.00
_cell_angle_beta 90.00
_cell_angle_gamma 90.00
loop_
_atom_site_label
_atom_site_type_symbol
_atom_site_fract_x
_atom_site_fract_y
_atom_site_fract_z
_atom_site_occupancy
Na1 Na 0.000 0.000 0.000 1
Ce1 Ce 0.250 0.250 0.750 1
Tl1 Tl 0.125 0.125 0.375 1



Version two
# NaCeTl4, relaxed, DFT PBE
# D(E_F) (states/eV/f.u.): 7.870
data_NaCeTl4
_chemical_formula_sum 'Na1 Ce1 Tl4'
_space_group_name_H-M_alt 'P 1 m 1'
_space_group_IT_number 6
_cell_length_a 3.596
_cell_length_b 5.216
_cell_length_c 9.289
_cell_angle_alpha 90.00
_cell_angle_beta 91.71
_cell_angle_gamma 90.00
loop_
_space_group_symop_operation_xyz
'x,y,z'
'x,-y,z'
loop_
_atom_site_label
_atom_site_type_symbol
_atom_site_fract_x
_atom_site_fract_y
_atom_site_fract_z
_atom_site_occupancy
Na1 Na 0.000 0.000 0.000 1
Ce1 Ce 0.999 0.500 0.495 1
Tl1 Tl 0.385 0.500 0.832 1
Tl2 Tl 0.391 0.000 0.333 1
Tl3 Tl 0.599 0.500 0.160 1
Tl4 Tl 0.627 0.000 0.665 1



What should be chosen as the most stable of them? Choose version two.



Version one
# NaCeTl, relaxed, DFT PBE
# D(E_F) (states/eV/f.u.): 6.849
data_NaCeTl
_chemical_formula_sum 'Na2 Ce2 Tl2'
_space_group_name_H-M_alt 'I 4 m m'
_space_group_IT_number 107
_space_group_name_Hall 'I 4 -2'
_cell_length_a 3.392
_cell_length_b 3.392
_cell_length_c 15.612
_cell_angle_alpha 90.00
_cell_angle_beta 90.00
_cell_angle_gamma 90.00
loop_
_atom_site_label
_atom_site_type_symbol
_atom_site_fract_x
_atom_site_fract_y
_atom_site_fract_z
_atom_site_occupancy
Na1 Na 0.000 0.000 0.000 1
Ce1 Ce 0.000 0.000 0.699 1
Tl1 Tl 0.000 0.000 0.350 1



Version two
# NaCeTl, relaxed, DFT PBE
# D(E_F) (states/eV/f.u.): 7.943
data_NaCeTl
_chemical_formula_sum 'Na1 Ce1 Tl1'
_space_group_name_H-M_alt 'P -6 m 2'
_space_group_IT_number 187
_space_group_name_Hall 'P -6 2'
_cell_length_a 5.4260
_cell_length_b 5.4260
_cell_length_c 3.3089
_cell_angle_alpha 90.00
_cell_angle_beta 90.00
_cell_angle_gamma 120.00
loop_
_atom_site_label
_atom_site_type_symbol
_atom_site_fract_x
_atom_site_fract_y
_atom_site_fract_z
_atom_site_occupancy
Na1 Na 0.0000 0.0000 0.0000 1
Ce1 Ce 0.3333 0.6667 0.5000 1
Tl1 Tl 0.6667 0.3333 0.0000 1



What should be chosen as the most stable of them? Choose version two.



Version one
# NaCeTl2, relaxed, DFT PBE
# D(E_F) (states/eV/f.u.): 7.953
data_NaCeTl2
_chemical_formula_sum 'Na1 Ce1 Tl2'
_space_group_name_H-M_alt 'P 4/m m m'
_space_group_IT_number 123
_space_group_name_Hall '-P 4 2'
_cell_length_a 5.487
_cell_length_b 5.487
_cell_length_c 3.849
_cell_angle_alpha 90.00
_cell_angle_beta 90.00
_cell_angle_gamma 90.00
loop_
_atom_site_label
_atom_site_type_symbol
_atom_site_fract_x
_atom_site_fract_y
_atom_site_fract_z
_atom_site_occupancy
Na1 Na 0.000 0.000 0.000 1
Ce1 Ce 0.500 0.500 0.000 1
Tl1 Tl 0.000 0.500 0.500 1



Version two
# NaCeTl2, relaxed, DFT PBE
# D(E_F) (states/eV/f.u.): 7.345
data_NaCeTl2
_chemical_formula_sum 'Na4 Ce4 Tl8'
_space_group_name_H-M_alt 'F m -3 m'
_space_group_IT_number 225
_space_group_name_Hall '-F 4 2 3'
_cell_length_a 7.673
_cell_length_b 7.673
_cell_length_c 7.673
_cell_angle_alpha 90.00
_cell_angle_beta 90.00
_cell_angle_gamma 90.00
loop_
_atom_site_label
_atom_site_type_symbol
_atom_site_fract_x
_atom_site_fract_y
_atom_site_fract_z
_atom_site_occupancy
Na1 Na 0.000 0.000 0.000 1
Ce1 Ce 0.000 0.000 0.500 1
Tl1 Tl 0.250 0.250 0.250 1



Version three
# NaCeTl2, relaxed, DFT PBE
# D(E_F) (states/eV/f.u.): 6.692
data_NaCeTl2
_chemical_formula_sum 'Na3 Ce3 Tl6'
_space_group_name_H-M_alt 'R -3 m'
_space_group_IT_number 166
_space_group_name_Hall '-R 3 2"'
_cell_length_a 3.4189
_cell_length_b 3.4189
_cell_length_c 33.4777
_cell_angle_alpha 90.00
_cell_angle_beta 90.00
_cell_angle_gamma 120.00
loop_
_atom_site_label
_atom_site_type_symbol
_atom_site_fract_x
_atom_site_fract_y
_atom_site_fract_z
_atom_site_occupancy
Na1 Na 0.0000 0.0000 0.0000 1
Ce1 Ce 0.0000 0.0000 0.5000 1
Tl1 Tl 0.0000 0.0000 0.2519 1



What should be chosen as the most stable of them? Choose version two.



Version one
# NaCeZn2, relaxed, DFT PBE
# D(E_F) (states/eV/f.u.): 4.257
data_NaCeZn2
_chemical_formula_sum 'Na1 Ce1 Zn2'
_space_group_name_H-M_alt 'P 4/m m m'
_space_group_IT_number 123
_space_group_name_Hall '-P 4 2'
_cell_length_a 3.275
_cell_length_b 3.275
_cell_length_c 8.407
_cell_angle_alpha 90.00
_cell_angle_beta 90.00
_cell_angle_gamma 90.00
loop_
_atom_site_label
_atom_site_type_symbol
_atom_site_fract_x
_atom_site_fract_y
_atom_site_fract_z
_atom_site_occupancy
Na1 Na 0.000 0.000 0.000 1
Ce1 Ce 0.000 0.000 0.500 1
Zn1 Zn 0.500 0.500 0.254 1



Version two
# NaCeZn2, relaxed, DFT PBE
# D(E_F) (states/eV/f.u.): 6.654
data_NaCeZn2
_chemical_formula_sum 'Na4 Ce4 Zn8'
_space_group_name_H-M_alt 'F m -3 m'
_space_group_IT_number 225
_space_group_name_Hall '-F 4 2 3'
_cell_length_a 7.135
_cell_length_b 7.135
_cell_length_c 7.135
_cell_angle_alpha 90.00
_cell_angle_beta 90.00
_cell_angle_gamma 90.00
loop_
_atom_site_label
_atom_site_type_symbol
_atom_site_fract_x
_atom_site_fract_y
_atom_site_fract_z
_atom_site_occupancy
Na1 Na 0.000 0.000 0.000 1
Ce1 Ce 0.000 0.000 0.500 1
Zn1 Zn 0.250 0.250 0.250 1



What should be chosen as the most stable of them? Choose version two.



Version one
# CeNbNi2, relaxed, DFT PBE
# D(E_F) (states/eV/f.u.): 6.316
data_CeNbNi2
_chemical_formula_sum 'Ce3 Nb3 Ni6'
_space_group_name_H-M_alt 'R -3 m'
_space_group_IT_number 166
_space_group_name_Hall '-R 3 2"'
_cell_length_a 4.2691
_cell_length_b 4.2691
_cell_length_c 14.5345
_cell_angle_alpha 90.00
_cell_angle_beta 90.00
_cell_angle_gamma 120.00
loop_
_atom_site_label
_atom_site_type_symbol
_atom_site_fract_x
_atom_site_fract_y
_atom_site_fract_z
_atom_site_occupancy
Ce1 Ce 0.0000 0.0000 0.0000 1
Nb1 Nb 0.0000 0.0000 0.5000 1
Ni1 Ni 0.0000 0.0000 0.2010 1



Version two
# CeNbNi2, relaxed, DFT PBE
# D(E_F) (states/eV/f.u.): 5.896
data_CeNbNi2
_chemical_formula_sum 'Ce1 Nb1 Ni2'
_space_group_name_H-M_alt 'P 4/m m m'
_space_group_IT_number 123
_space_group_name_Hall '-P 4 2'
_cell_length_a 3.150
_cell_length_b 3.150
_cell_length_c 6.881
_cell_angle_alpha 90.00
_cell_angle_beta 90.00
_cell_angle_gamma 90.00
loop_
_atom_site_label
_atom_site_type_symbol
_atom_site_fract_x
_atom_site_fract_y
_atom_site_fract_z
_atom_site_occupancy
Ce1 Ce 0.000 0.000 0.000 1
Nb1 Nb 0.000 0.000 0.500 1
Ni1 Ni 0.500 0.500 0.303 1



What should be chosen as the most stable of them? Choose version two.



Version one
# CePaNb, relaxed, DFT PBE
# D(E_F) (states/eV/f.u.): 5.406
data_CePaNb
_chemical_formula_sum 'Ce2 Pa2 Nb2'
_space_group_name_H-M_alt 'I 4 m m'
_space_group_IT_number 107
_space_group_name_Hall 'I 4 -2'
_cell_length_a 3.522
_cell_length_b 3.522
_cell_length_c 11.100
_cell_angle_alpha 90.00
_cell_angle_beta 90.00
_cell_angle_gamma 90.00
loop_
_atom_site_label
_atom_site_type_symbol
_atom_site_fract_x
_atom_site_fract_y
_atom_site_fract_z
_atom_site_occupancy
Ce1 Ce 0.000 0.000 0.000 1
Pa1 Pa 0.000 0.000 0.329 1
Nb1 Nb 0.000 0.000 0.682 1



Version two
# CePaNb, relaxed, DFT PBE
# D(E_F) (states/eV/f.u.): 6.358
data_CePaNb
_chemical_formula_sum 'Ce1 Pa1 Nb1'
_space_group_name_H-M_alt 'P 3 m 1'
_space_group_IT_number 156
_cell_length_a 4.9892
_cell_length_b 4.9892
_cell_length_c 3.1517
_cell_angle_alpha 90.00
_cell_angle_beta 90.00
_cell_angle_gamma 120.00
loop_
_space_group_symop_operation_xyz
'x,y,z'
'-y,x-y,z'
'-x+y,-x,z'
'-y,-x,z'
'-x+y,y,z'
'x,x-y,z'
loop_
_atom_site_label
_atom_site_type_symbol
_atom_site_fract_x
_atom_site_fract_y
_atom_site_fract_z
_atom_site_occupancy
Ce1 Ce 0.0000 0.0000 0.0000 1
Pa1 Pa 0.6667 0.3333 0.2802 1
Nb1 Nb 0.3333 0.6667 0.6540 1



What should be chosen as the most stable of them? Choose version one.



Version one
# CePuNb, relaxed, DFT PBE
# D(E_F) (states/eV/f.u.): 7.508
data_CePuNb
_chemical_formula_sum 'Ce2 Pu2 Nb2'
_space_group_name_H-M_alt 'P -3 m 1'
_space_group_IT_number 164
_space_group_name_Hall '-P 3 2"'
_cell_length_a 3.4236
_cell_length_b 3.4236
_cell_length_c 13.2862
_cell_angle_alpha 90.00
_cell_angle_beta 90.00
_cell_angle_gamma 120.00
loop_
_atom_site_label
_atom_site_type_symbol
_atom_site_fract_x
_atom_site_fract_y
_atom_site_fract_z
_atom_site_occupancy
Ce1 Ce 0.0000 0.0000 0.1094 1
Pu1 Pu 0.3333 0.6667 0.5479 1
Nb1 Nb 0.3333 0.6667 0.2900 1



Version two
# CePuNb, relaxed, DFT PBE
# D(E_F) (states/eV/f.u.): 7.785
data_CePuNb
_chemical_formula_sum 'Ce2 Pu2 Nb2'
_space_group_name_H-M_alt 'I 4 m m'
_space_group_IT_number 107
_space_group_name_Hall 'I 4 -2'
_cell_length_a 3.775
_cell_length_b 3.775
_cell_length_c 9.557
_cell_angle_alpha 90.00
_cell_angle_beta 90.00
_cell_angle_gamma 90.00
loop_
_atom_site_label
_atom_site_type_symbol
_atom_site_fract_x
_atom_site_fract_y
_atom_site_fract_z
_atom_site_occupancy
Ce1 Ce 0.000 0.000 0.000 1
Pu1 Pu 0.000 0.000 0.329 1
Nb1 Nb 0.000 0.000 0.671 1



What should be chosen as the most stable of them? Choose version two.



Version one
# CePu2Nb, relaxed, DFT PBE
# D(E_F) (states/eV/f.u.): 11.824
data_CePu2Nb
_chemical_formula_sum 'Ce1 Pu2 Nb1'
_space_group_name_H-M_alt 'P 4/m m m'
_space_group_IT_number 123
_space_group_name_Hall '-P 4 2'
_cell_length_a 3.107
_cell_length_b 3.107
_cell_length_c 9.606
_cell_angle_alpha 90.00
_cell_angle_beta 90.00
_cell_angle_gamma 90.00
loop_
_atom_site_label
_atom_site_type_symbol
_atom_site_fract_x
_atom_site_fract_y
_atom_site_fract_z
_atom_site_occupancy
Ce1 Ce 0.000 0.000 0.000 1
Pu1 Pu 0.500 0.500 0.269 1
Nb1 Nb 0.000 0.000 0.500 1



Version two
# CePu2Nb, relaxed, DFT PBE
# D(E_F) (states/eV/f.u.): 14.746
data_CePu2Nb
_chemical_formula_sum 'Ce3 Pu6 Nb3'
_space_group_name_H-M_alt 'R -3 m'
_space_group_IT_number 166
_space_group_name_Hall '-R 3 2"'
_cell_length_a 3.8607
_cell_length_b 3.8607
_cell_length_c 21.4891
_cell_angle_alpha 90.00
_cell_angle_beta 90.00
_cell_angle_gamma 120.00
loop_
_atom_site_label
_atom_site_type_symbol
_atom_site_fract_x
_atom_site_fract_y
_atom_site_fract_z
_atom_site_occupancy
Ce1 Ce 0.0000 0.0000 0.0000 1
Pu1 Pu 0.0000 0.0000 0.2607 1
Nb1 Nb 0.0000 0.0000 0.5000 1



What should be chosen as the most stable of them? Choose version one.